16
Lattice="8.177 0.000 0.000 0.000 8.177 0.000 -4.089 -4.089 6.586" Properties=species:S:1:pos:R:3 comment="Dy5Ag2Bi GGA-PBE optimized geometry" density_g_cm3=9.33 delta_e_f_ev_per_atom=-0.368 n_ef_per_ev_cell=15.4 energy_ev_per_atom=-4.442 pbc="T T T"
Dy 1.251 2.838 4.664
Dy 5.339 6.926 1.922
Dy 0.000 0.000 0.000
Dy 4.089 4.089 0.000
Dy -1.251 -2.838 4.664
Dy 2.838 -1.251 4.664
Dy -2.838 1.251 4.664
Dy 1.251 5.339 1.922
Dy 6.926 2.838 1.922
Dy 2.838 1.251 1.922
Ag 1.109 2.979 0.000
Ag 5.198 1.109 0.000
Ag 2.979 7.068 0.000
Ag 7.068 5.198 0.000
Bi 4.089 4.089 3.293
Bi 0.000 0.000 3.293